1.
# SrCuPt2 (PBE-GGA, optimized geometry)
data_SrCuPt2
_symmetry_space_group_name_H-M 'I m m 2'
_symmetry_Int_Tables_number 44
_cell_length_a 4.021
_cell_length_b 4.406
_cell_length_c 8.556
_cell_angle_alpha 90.00
_cell_angle_beta 90.00
_cell_angle_gamma 90.00
loop_
_symmetry_equiv_pos_as_xyz
'x,y,z'
'-x,-y,z'
'-x,y,z'
'x,-y,z'
'x+1/2,y+1/2,z+1/2'
'-x+1/2,-y+1/2,z+1/2'
'-x+1/2,y+1/2,z+1/2'
'x+1/2,-y+1/2,z+1/2'
loop_
_atom_site_label
_atom_site_type_symbol
_atom_site_fract_x
_atom_site_fract_y
_atom_site_fract_z
Sr1 Sr 0.000 0.000 0.000
Cu1 Cu 0.000 0.500 0.236
Pt1 Pt 0.000 0.000 0.516
Pt2 Pt 0.000 0.500 0.762
# **DFT formation energy**: -0.166 eV per atom
# **Crystal system**: orthorhombic

2.
# SiSbTe2 (PBE-GGA, optimized geometry)
data_SiSbTe2
_symmetry_space_group_name_H-M 'C 1 2/m 1'
_symmetry_Int_Tables_number 12
_cell_length_a 7.114
_cell_length_b 4.058
_cell_length_c 7.967
_cell_angle_alpha 90.00
_cell_angle_beta 107.04
_cell_angle_gamma 90.00
loop_
_symmetry_equiv_pos_as_xyz
'x,y,z'
'-x,-y,-z'
'-x,y,-z'
'x,-y,z'
'x+1/2,y+1/2,z'
'-x+1/2,-y+1/2,-z'
'-x+1/2,y+1/2,-z'
'x+1/2,-y+1/2,z'
loop_
_atom_site_label
_atom_site_type_symbol
_atom_site_fract_x
_atom_site_fract_y
_atom_site_fract_z
Si1 Si 0.000 0.000 0.000
Sb1 Sb 0.000 0.500 0.500
Te1 Te 0.240 0.500 0.219
# **Energy above the lowest structure with this stoichiometry**: 0.025 eV/atom
# **Formation energy from raw total energies**: 0.15 eV/atom
# **Crystal system**: monoclinic

3.
# PmPrGeS (PBE-GGA, optimized geometry)
data_PmPrGeS
_symmetry_space_group_name_H-M 'R 3 m'
_symmetry_Int_Tables_number 160
_symmetry_space_group_name_Hall 'R 3 -2"'
_cell_length_a 4.1955
_cell_length_b 4.1955
_cell_length_c 20.6619
_cell_angle_alpha 90.00
_cell_angle_beta 90.00
_cell_angle_gamma 120.00
loop_
_atom_site_label
_atom_site_type_symbol
_atom_site_fract_x
_atom_site_fract_y
_atom_site_fract_z
Pm1 Pm 0.0000 0.0000 0.0000
Pr1 Pr 0.0000 0.0000 0.4986
Ge1 Ge 0.0000 0.0000 0.2505
S1 S 0.0000 0.0000 0.7476
# **Formation energy from raw total energies**: -1.44 eV/atom
# **Crystal system**: trigonal

4.
# CaIn2Ni9 (PBE-GGA, optimized geometry)
data_CaIn2Ni9
_symmetry_space_group_name_H-M 'P 4/m b m'
_symmetry_Int_Tables_number 127
_symmetry_space_group_name_Hall '-P 4 2ab'
_cell_length_a 8.259
_cell_length_b 8.259
_cell_length_c 4.875
_cell_angle_alpha 90.00
_cell_angle_beta 90.00
_cell_angle_gamma 90.00
loop_
_atom_site_label
_atom_site_type_symbol
_atom_site_fract_x
_atom_site_fract_y
_atom_site_fract_z
Ca1 Ca 0.000 0.000 0.000
In1 In 0.126 0.374 0.000
Ni1 Ni 0.000 0.500 0.500
Ni2 Ni 0.065 0.208 0.500
Ni3 Ni 0.176 0.676 0.251
# **DFT formation energy**: -0.136 eV per atom
# **Crystal system**: tetragonal

5.
# BaSrLa2Se4 (PBE-GGA, optimized geometry)
data_BaSrLa2Se4
_symmetry_space_group_name_H-M 'P 1 2/m 1'
_symmetry_Int_Tables_number 10
_cell_length_a 7.648
_cell_length_b 4.407
_cell_length_c 7.762
_cell_angle_alpha 90.00
_cell_angle_beta 109.10
_cell_angle_gamma 90.00
loop_
_symmetry_equiv_pos_as_xyz
'x,y,z'
'-x,-y,-z'
'-x,y,-z'
'x,-y,z'
loop_
_atom_site_label
_atom_site_type_symbol
_atom_site_fract_x
_atom_site_fract_y
_atom_site_fract_z
Ba1 Ba 0.000 0.000 0.000
Sr1 Sr 0.500 0.500 0.000
La1 La 0.000 0.500 0.500
La2 La 0.500 0.000 0.500
Se1 Se 0.253 0.000 0.738
Se2 Se 0.263 0.500 0.267
# **Formation energy from raw total energies**: -1.98 eV/atom
# **Crystal system**: monoclinic

6.
# ZrTa2SnS (PBE-GGA, optimized geometry)
data_ZrTa2SnS
_symmetry_space_group_name_H-M 'P 4/m m m'
_symmetry_Int_Tables_number 123
_symmetry_space_group_name_Hall '-P 4 2'
_cell_length_a 5.177
_cell_length_b 5.177
_cell_length_c 4.672
_cell_angle_alpha 90.00
_cell_angle_beta 90.00
_cell_angle_gamma 90.00
loop_
_atom_site_label
_atom_site_type_symbol
_atom_site_fract_x
_atom_site_fract_y
_atom_site_fract_z
Zr1 Zr 0.000 0.000 0.000
Ta1 Ta 0.000 0.500 0.000
Sn1 Sn 0.500 0.500 0.500
S1 S 0.000 0.000 0.500
# **Formation energy from raw total energies**: 1.30 eV/atom
# **Crystal system**: tetragonal

Results for ρ: 11.9 6.1 6.2 8.0 5.5 8.0 (in g cm⁻³, following the order of the records).